No. 1
Density functional theory data (PBE) for a geometry-optimized Sm4TlSe2S structure.

total energy = -44.05 eV for the cell shown
energy relative to the elements, uncorrected = -1464 meV/atom
magnetization = 0.00 μB per formula unit
density of states at the Fermi level = 3.05 states/eV/f.u.

abc: 7.3571 4.1461 7.3613
angles: 90.00 108.75 90.00
With the nearest neighbours (Å) after each atom.
Space group P2/m (No. 10)
Inequivalent atoms, fractional coordinates:
Sm 0.2362 0.0000 0.2424 x2  3 Se 2.92-3.03, 1 S 2.96, 2 Tl 3.05
Sm 0.2366 0.5000 0.7424 x2  2 S 2.92, 3 Se 2.96-3.05, 1 Tl 3.03
Tl 0.5000 0.5000 0.5000 x1  6 Sm 3.03-3.05
Se 0.0000 0.5000 0.0000 x1  6 Sm 2.92-2.96
Se 0.5000 0.0000 0.0000 x1  6 Sm 3.03-3.05
S 0.0000 0.0000 0.5000 x1  6 Sm 2.92-2.96

No. 2
Density functional theory data (PBE) for a geometry-optimized Li8AlCd2 structure.

total energy = -44.91 eV for the cell shown
energy above the lowest structure with this stoichiometry = 0 meV/atom
magnetization = 0.00 μB per formula unit
density of states at the Fermi level = 4.79 states/eV/f.u.
calculated formation energy = -0.143 eV per atom

abc: 15.3079 4.6845 5.5067
angles: 90.00 91.11 90.00
With the nearest neighbours (Å) after each atom.
Space group C2/m (No. 12)
Inequivalent atoms, fractional coordinates:
Li 0.0425 0.0000 0.2434 x4  5 Li 2.74-2.96, 2 Al 2.82, 1 Cd 2.83
Li 0.0901 0.5000 0.9601 x4  6 Li 2.78-2.94, 1 Al 2.86, 1 Cd 2.92
Li 0.1376 0.0000 0.6697 x4  7 Li 2.74-2.94, 1 Cd 2.91
Li 0.1788 0.5000 0.4062 x4  4 Li 2.78-2.85, 1 Al 2.79, 3 Cd 2.84-2.86
Al 0.0000 0.5000 0.5000 x2  8 Li 2.79-2.86
Cd 0.2235 0.0000 0.1464 x4  6 Li 2.83-2.92, 2 Cd 2.97